Material: Li2GaSi
Method: DFT, PBE
State: relaxed

Structure (CIF):
```
data_Li2GaSi
_chemical_formula_sum 'Li2 Ga1 Si1'
_space_group_name_H-M_alt 'P 1'
_space_group_IT_number 1
_space_group_name_Hall 'P 1'
_cell_length_a 4.4547
_cell_length_b 4.4547
_cell_length_c 4.4547
_cell_angle_alpha 60.00
_cell_angle_beta 60.00
_cell_angle_gamma 60.00
loop_
_atom_site_label
_atom_site_fract_x
_atom_site_fract_y
_atom_site_fract_z
_atom_site_occupancy
Li1 0.0000 0.0000 0.0000 1
Li2 0.2500 0.2500 0.2500 1
Ga1 0.7500 0.7500 0.7500 1
Si1 0.5000 0.5000 0.5000 1
```

Properties
Relative energy among the computed polymorphs: 9.2 kJ per mole of atoms
DFT total energy: -3.18 eV/atom
Formation energy (no corrections): -0.11 eV/atom